## Cd5Hg8Bi (PBE)

Data for Cd5Hg8Bi after structural relaxation.

Computed properties:
For the density of states at the Fermi level, the calculation gives 3.5 states/eV/f.u. As for the calculated formation energy: 0.05 eV per atom. The total magnetization comes out at 0.00 μB/f.u.

Lattice parameters (Å, degrees): 7.637 7.637 9.136 122.59 122.59 62.57
Element x y z (fractional)
Cd  0.000  0.000  0.000
Cd  0.052  0.207  0.740
Cd  0.558  0.259  0.557
Cd  0.741  0.442  0.443
Cd  0.793  0.948  0.260
Hg  0.165  0.155  0.424
Hg  0.343  0.652  0.159
Hg  0.345  0.198  0.121
Hg  0.348  0.657  0.841
Hg  0.523  0.146  0.837
Hg  0.802  0.655  0.879
Hg  0.845  0.835  0.576
Hg  0.854  0.477  0.163
Bi  0.293  0.707  0.500